(1)
DFT (GGA-PBE) results for a relaxed SiNiSN2 crystal.

a = 3.662 Å, b = 3.662 Å, c = 4.924 Å
α = 90.00°, β = 90.00°, γ = 90.00°
Fractional coordinates of all 5 atoms:
Ni: 0.000 0.000 0.000
N: 0.500 0.000 0.000
Si: 0.500 0.500 0.500
S: 0.000 0.000 0.500
N: 0.000 0.500 0.000

## Properties
The calculation puts the uncorrected formation energy at 1.235 eV per atom. As for the total magnetization: 3.1 μB per cell. For the raw total energy, the calculation gives -5.161 eV per atom.



(2)
DFT (GGA-PBE) results for a relaxed Pd4Pb2Au3 crystal.

a = 4.301 Å, b = 4.898 Å, c = 8.941 Å
α = 79.35°, β = 90.00°, γ = 116.04°
Fractional coordinates of all 9 atoms:
Pd: 0.668 0.336 0.110
Pb: 0.331 0.663 0.220
Au: 0.340 0.680 0.552
Pb: 0.669 0.337 0.780
Pd: 0.001 0.002 0.669
Pd: 0.999 0.998 0.331
Au: 0.000 0.000 0.000
Pd: 0.332 0.664 0.890
Au: 0.660 0.320 0.448

## Properties
The formation energy comes out at -1.4 eV per formula unit. As for the total magnetization: 0.0 μB per cell. For the raw total energy, the calculation gives -4.381 eV per atom.



(3)
DFT (GGA-PBE) results for a relaxed SrAlCr2 crystal.

a = 5.064 Å, b = 5.064 Å, c = 5.064 Å
α = 127.69°, β = 117.95°, γ = 85.41°
Fractional coordinates of all 4 atoms:
Sr: 0.507 0.507 0.000
Cr: 0.797 0.297 0.500
Cr: 0.978 0.978 0.000
Al: 0.217 0.717 0.500

## Properties
The formation energy comes out at 2.2 eV per formula unit. As for the total magnetization: 0.0 μB per cell. For the raw total energy, the calculation gives -5.625 eV per atom.